1.
Density functional theory data (PBE-GGA) for a relaxed BC2 crystal.

The structure in extended XYZ format:
```
12
Lattice="-1.756 -0.401 1.759 1.109 -3.632 0.279 5.196 2.283 5.707" Properties=species:S:1:pos:R:3 pbc="T T T"
C 3.968 -0.183 5.721
C 2.886 -2.752 2.254
C 5.097 -0.669 6.737
C 4.581 0.877 4.773
C 1.718 -2.102 3.037
C 4.582 -2.102 4.095
C 3.448 -1.418 4.920
C 2.867 0.412 2.956
B 2.311 -0.888 3.906
B 5.029 2.190 5.519
B 1.324 -0.416 1.227
B 0.500 -1.771 1.897
```

* crystal system: monoclinic
* energy of formation: 0.376 eV per atom
* distance to the lowest polymorph of the same formula: 136 meV/atom
* density of states at the Fermi level: 1.6 states/eV per cell
* magnetization: 0.00 μB per atom


2.
Density functional theory data (PBE-GGA) for a relaxed CsRbAgI4 crystal.

The structure in extended XYZ format:
```
14
Lattice="-6.890 4.948 3.136 -3.519 -5.836 1.477 6.690 -1.839 8.675" Properties=species:S:1:pos:R:3 pbc="T T T"
I -5.365 -2.220 11.085
I -4.656 -2.508 3.688
I -3.666 0.597 10.372
I 1.646 -0.507 2.203
I -2.199 0.737 5.904
I -1.520 -3.464 7.384
I -0.053 -3.324 2.916
I 0.937 -0.219 9.600
Cs -1.341 -2.534 11.487
Cs -2.379 -0.193 1.801
Rb 1.043 -1.182 6.046
Rb -4.762 -1.545 7.242
Ag -2.305 -3.666 4.716
Ag -1.414 0.939 8.572
```

* E_form (uncorrected): -926 meV/atom
* crystal system: monoclinic
* density of states at the Fermi level: 3.6 states/eV per cell
* magnetization: 0.00 μB per atom


3.
Density functional theory data (PBE-GGA) for a relaxed CaTa3 crystal.

The structure in extended XYZ format:
```
4
Lattice="5.891 0.001 0.004 -2.732 5.219 0.004 -2.732 -4.515 2.617" Properties=species:S:1:pos:R:3 pbc="T T T"
Ta 1.579 -2.257 1.311
Ta 1.579 2.610 0.004
Ta -2.732 0.352 1.311
Ca 0.000 0.000 0.000
```

* crystal system: trigonal
* energy of formation: 0.639 eV per atom
* density of states at the Fermi level: 6.9 states/eV per cell
* magnetization: 0.00 μB per atom


4.
Density functional theory data (PBE-GGA) for a relaxed KSb2Rh crystal.

The structure in extended XYZ format:
```
4
Lattice="-0.836 -4.848 -1.449 -1.501 -3.485 3.450 -4.782 -1.848 -0.135" Properties=species:S:1:pos:R:3 pbc="T T T"
Sb 0.000 0.000 0.000
Sb -1.780 -2.545 0.467
K -3.560 -5.091 0.933
Rh -5.339 -7.636 1.400
```

* E_form (uncorrected): 347 meV/atom
* crystal system: cubic
* distance to the lowest polymorph of the same formula: 749 meV/atom
* density of states at the Fermi level: 3.0 states/eV per cell
* magnetization: 0.00 μB per atom


5.
Density functional theory data (PBE-GGA) for a relaxed NaYAu3 crystal.

The structure in extended XYZ format:
```
5
Lattice="-3.043 -3.842 -2.510 4.556 -2.170 -2.202 0.547 -3.294 4.378" Properties=species:S:1:pos:R:3 pbc="T T T"
Au 2.278 -1.085 -1.101
Au 0.274 -1.647 2.189
Au -1.522 -1.921 -1.255
Y 0.000 0.000 0.000
Na 1.030 -4.653 -0.167
```

* crystal system: cubic
* energy of formation: 0.014 eV per atom
* distance to the lowest polymorph of the same formula: 0 meV/atom
* density of states at the Fermi level: 2.3 states/eV per cell
* magnetization: 0.00 μB per atom


6.
Density functional theory data (PBE-GGA) for a relaxed Co2HgPdN crystal.

The structure in extended XYZ format:
```
5
Lattice="3.842 0.000 0.000 0.000 3.842 0.000 0.000 0.000 4.370" Properties=species:S:1:pos:R:3 pbc="T T T"
Pd 0.000 0.000 2.185
Hg 1.921 1.921 2.185
Co 1.921 0.000 0.000
Co 0.000 1.921 0.000
N 0.000 0.000 0.000
```

* E_form (uncorrected): 165 meV/atom
* crystal system: tetragonal
* density of states at the Fermi level: 7.0 states/eV per cell
* magnetization: 0.47 μB per atom


7.
Density functional theory data (PBE-GGA) for a relaxed Li10CdHg6 crystal.

The structure in extended XYZ format:
```
17
Lattice="-5.545 -1.240 0.009 1.162 -5.152 6.094 -1.725 7.728 1.527" Properties=species:S:1:pos:R:3 pbc="T T T"
Li -2.573 -1.478 4.576
Li -4.928 0.795 5.357
Li -2.223 5.199 1.074
Li 0.200 -0.859 4.572
Li -0.196 -3.843 4.280
Li -0.763 3.435 3.049
Li -1.180 0.541 2.273
Li -4.186 -2.549 1.824
Li -3.535 2.815 3.054
Li -5.047 1.290 0.463
Hg -3.127 -4.144 3.886
Hg -1.256 -2.247 2.217
Hg -4.072 0.072 2.776
Hg -4.965 4.055 0.978
Hg -2.036 1.265 4.854
Hg -2.305 2.433 0.558
Cd -2.772 -0.620 0.005
```

* crystal system: trigonal
* energy of formation: -0.303 eV per atom
* density of states at the Fermi level: 7.4 states/eV per cell
* magnetization: 0.00 μB per atom


8.
Density functional theory data (PBE-GGA) for a relaxed Ti2Tl2CrS6 crystal.

The structure in extended XYZ format:
```
11
Lattice="-2.654 4.519 -2.944 -3.308 -4.522 2.178 1.241 3.829 6.917" Properties=species:S:1:pos:R:3 pbc="T T T"
Tl -2.764 2.997 -2.081
Tl -3.198 -3.000 1.316
S -1.183 1.223 2.008
S -4.100 2.691 0.775
S -0.408 4.084 3.705
S -4.313 -0.258 2.446
S -0.621 1.135 5.376
S -3.538 2.603 4.143
Ti -2.250 3.444 2.208
Ti -2.471 0.382 3.943
Cr 0.620 1.914 3.458
```

* E_form (uncorrected): -949 meV/atom
* crystal system: monoclinic
* density of states at the Fermi level: 3.8 states/eV per cell
* magnetization: 0.18 μB per atom


9.
Density functional theory data (PBE-GGA) for a relaxed PuGe2Ru crystal.

The structure in extended XYZ format:
```
8
Lattice="4.242 -0.179 -0.191 -0.179 4.242 -0.191 -0.406 -0.406 8.999" Properties=species:S:1:pos:R:3 pbc="T T T"
Ge 0.721 2.936 4.308
Ge 2.887 2.887 7.966
Ge 0.770 0.770 0.650
Ge 2.936 0.721 4.308
Ru 2.900 2.900 5.550
Ru 0.756 0.756 3.066
Pu 0.884 0.884 6.791
Pu 2.773 2.773 1.825
```

* crystal system: monoclinic
* energy of formation: -0.316 eV per atom
* distance to the lowest polymorph of the same formula: 70 meV/atom
* density of states at the Fermi level: 23.6 states/eV per cell
* magnetization: 1.24 μB per atom


10.
Density functional theory data (PBE-GGA) for a relaxed PmSmAgI crystal.

The structure in extended XYZ format:
```
4
Lattice="5.397 0.000 0.000 2.698 4.674 0.000 2.698 1.558 4.406" Properties=species:S:1:pos:R:3 pbc="T T T"
Sm 2.698 1.558 1.102
Pm 8.095 4.674 3.305
Ag 0.000 0.000 0.000
I 5.397 3.116 2.203
```

* E_form (uncorrected): -358 meV/atom
* crystal system: cubic
* density of states at the Fermi level: 5.7 states/eV per cell
* magnetization: 0.00 μB per atom


11.
Density functional theory data (PBE-GGA) for a relaxed K2Cd4GeAu3 crystal.

The structure in extended XYZ format:
```
10
Lattice="4.660 0.000 0.000 0.000 4.660 0.000 0.000 0.000 12.098" Properties=species:S:1:pos:R:3 pbc="T T T"
Au 0.000 0.000 6.049
Au 2.330 0.000 10.412
Au 0.000 2.330 1.686
Cd 0.000 2.330 4.441
Cd 2.330 0.000 7.656
Cd 2.330 2.330 0.000
Cd 0.000 0.000 0.000
Ge 2.330 2.330 6.049
K 0.000 2.330 9.053
K 2.330 0.000 3.044
```

* crystal system: tetragonal
* energy of formation: -0.173 eV per atom
* density of states at the Fermi level: 3.5 states/eV per cell
* magnetization: 0.00 μB per atom


12.
Density functional theory data (PBE-GGA) for a relaxed MgUNiIr crystal.

The structure in extended XYZ format:
```
4
Lattice="4.627 0.000 0.000 2.314 4.007 0.000 2.314 1.336 3.778" Properties=species:S:1:pos:R:3 pbc="T T T"
U 0.000 0.000 0.000
Ni 2.314 1.336 0.945
Mg 4.627 2.672 1.889
Ir 6.941 4.007 2.834
```

* crystal system: cubic
* energy of formation: -0.264 eV per atom
* density of states at the Fermi level: 6.5 states/eV per cell
* magnetization: 0.40 μB per atom


> Which value of magnetization does entry 11 give?

0.00 μB per atom